# 1
First-principles (PBE-GGA) data for an optimized crystal structure of TaCo2N3, as listed in the Alexandria database.

Structure (POSCAR):
```
TaCo2N3
1.0
-2.2298 -5.6829 -0.9970
4.3355 2.8919 -3.3320
5.7687 -3.1661 4.5929
Ta Co N
4 8 12
direct
0.7737 0.8412 0.1318
0.1588 0.2263 0.3682
0.2263 0.1588 0.8682
0.8412 0.7737 0.6318
0.8596 0.4687 0.3568
0.5313 0.1404 0.1432
0.1404 0.5313 0.6432
0.4687 0.8596 0.8568
0.1538 0.5656 0.1095
0.4344 0.8462 0.3905
0.8462 0.4344 0.8905
0.5656 0.1538 0.6095
0.4092 0.5908 0.2500
0.5908 0.4092 0.7500
0.8186 0.5196 0.1063
0.4804 0.1814 0.3937
0.1814 0.4804 0.8937
0.5196 0.8186 0.6063
0.9027 0.7968 0.3888
0.2032 0.0973 0.1112
0.0973 0.2032 0.6112
0.7968 0.9027 0.8888
0.8320 0.1680 0.2500
0.1680 0.8320 0.7500
```

Total DFT energy (no corrections) in eV per atom: -8.68
Raw formation energy in eV per atom: -0.17
Calculated volume in Å³/f.u.: 61.7

---

# 2
First-principles (PBE-GGA) data for an optimized crystal structure of TaCoN2, as listed in the Alexandria database.

Structure (POSCAR):
```
TaCoN2
1.0
0.3819 -5.3466 2.9829
3.3413 -4.3687 2.7166
1.5166 -3.2314 4.9888
N Co Ta
2 1 1
direct
0.8952 0.8952 0.8952
0.1048 0.1048 0.1048
0.0000 0.0000 0.0000
0.5000 0.5000 0.5000
```

Total DFT energy (no corrections) in eV per atom: -9.28
Raw formation energy in eV per atom: -0.38
Calculated volume in Å³/f.u.: 49.7

---

# 3
First-principles (PBE-GGA) data for an optimized crystal structure of TaCoN3, as listed in the Alexandria database.

Structure (POSCAR):
```
TaCoN3
1.0
-3.9799 0.0682 0.5332
0.0529 -3.9145 0.8955
0.5349 0.8944 3.8784
N Co Ta
3 1 1
direct
0.0000 0.5000 0.0000
0.0000 0.0000 0.5000
0.5000 0.0000 0.0000
0.5000 0.5000 0.5000
0.0000 0.0000 0.0000
```

Total DFT energy (no corrections) in eV per atom: -7.95
Raw formation energy in eV per atom: 0.83
Calculated volume in Å³/f.u.: 64.8

---

# 4
First-principles (PBE-GGA) data for an optimized crystal structure of Ta2CoTcN, as listed in the Alexandria database.

Structure (POSCAR):
```
Ta2CoTcN
1.0
-1.8751 4.5467 0.2551
-3.3582 -1.3474 -0.6692
-0.7334 -0.5738 4.8359
N Co Tc Ta
1 1 1 2
direct
0.0000 0.5000 0.0000
0.5000 0.5000 0.5000
0.0000 0.0000 0.0000
0.0000 0.0000 0.5000
0.5000 0.0000 0.0000
```

Total DFT energy (no corrections) in eV per atom: -8.52
Raw formation energy in eV per atom: 1.38
Calculated volume in Å³/f.u.: 89.2

---

# 5
First-principles (PBE-GGA) data for an optimized crystal structure of TaCoTeN2, as listed in the Alexandria database.

Structure (POSCAR):
```
TaCoTeN2
1.0
-0.2877 1.0585 -3.6954
-2.2174 -3.0727 -0.7075
-3.9749 2.6242 1.0611
N Te Co Ta
2 1 1 1
direct
0.0000 0.5000 0.0000
0.5000 0.0000 0.0000
0.0000 0.0000 0.5000
0.0000 0.0000 0.0000
0.5000 0.5000 0.5000
```

Excess energy over the best structure of this formula in the dataset in eV per formula unit: 4.25
Total DFT energy (no corrections) in eV per atom: -6.35
Raw formation energy in eV per atom: 1.40
Calculated volume in Å³/f.u.: 72.5

---

# 6
First-principles (PBE-GGA) data for an optimized crystal structure of TaCoTe2N, as listed in the Alexandria database.

Structure (POSCAR):
```
TaCoTe2N
1.0
-0.1621 -4.4959 3.2230
0.5137 -3.2227 -4.4696
3.8523 0.1177 0.3579
N Te Co Ta
1 2 1 1
direct
0.0000 0.0000 0.5000
0.0000 0.5000 0.0000
0.5000 0.0000 0.0000
0.5000 0.5000 0.5000
0.0000 0.0000 0.0000
```

Excess energy over the best structure of this formula in the dataset in eV per formula unit: 0.10
Total DFT energy (no corrections) in eV per atom: -6.13
Raw formation energy in eV per atom: 0.58
Calculated volume in Å³/f.u.: 118.5

---

# 7
First-principles (PBE-GGA) data for an optimized crystal structure of TaCoTe2N, as listed in the Alexandria database.

Structure (POSCAR):
```
TaCoTe2N
1.0
5.2057 0.0000 0.0000
0.0000 5.2057 0.0000
0.0000 0.0000 3.4006
N Te Co Ta
1 2 1 1
direct
0.0000 0.0000 0.5000
0.0000 0.5000 0.0000
0.5000 0.0000 0.0000
0.0000 0.0000 0.0000
0.5000 0.5000 0.5000
```

Excess energy over the best structure of this formula in the dataset in eV per formula unit: 0.00
Total DFT energy (no corrections) in eV per atom: -6.15
Raw formation energy in eV per atom: 0.56
Calculated volume in Å³/f.u.: 92.2

---

# 8
First-principles (PBE-GGA) data for an optimized crystal structure of TaCoTeN2, as listed in the Alexandria database.

Structure (POSCAR):
```
TaCoTeN2
1.0
3.9636 0.0000 0.0000
0.0000 3.9636 0.0000
0.0000 0.0000 5.9388
N Te Co Ta
2 1 1 1
direct
0.0000 0.5000 0.0000
0.5000 0.0000 0.0000
0.0000 0.0000 0.5000
0.5000 0.5000 0.5000
0.0000 0.0000 0.0000
```

Excess energy over the best structure of this formula in the dataset in eV per formula unit: 0.00
Total DFT energy (no corrections) in eV per atom: -7.20
Raw formation energy in eV per atom: 0.55
Calculated volume in Å³/f.u.: 93.3

---

# 9
First-principles (PBE-GGA) data for an optimized crystal structure of Zr3TaCo2N, as listed in the Alexandria database.

Structure (POSCAR):
```
Zr3TaCo2N
1.0
-2.5180 3.3344 0.3788
-0.2088 -0.6463 4.3015
6.4758 2.4242 -1.5258
Zr Ta Co N
3 1 2 1
direct
0.0000 0.5000 0.0000
0.1866 0.1866 0.3732
0.8134 0.8134 0.6268
0.5000 0.0000 0.0000
0.6257 0.6257 0.2514
0.3743 0.3743 0.7486
0.0000 0.0000 0.0000
```

Total DFT energy (no corrections) in eV per atom: -9.06
Raw formation energy in eV per atom: -0.49
Calculated volume in Å³/f.u.: 117.0

---

# 10
First-principles (PBE-GGA) data for an optimized crystal structure of Tb12Co3N5, as listed in the Alexandria database.

Structure (POSCAR):
```
Tb12Co3N5
1.0
-5.6370 -0.4628 11.8235
-8.9233 -2.7282 -9.2041
9.6930 -8.8039 -0.5664
Co Tb N
12 48 20
direct
0.7500 0.3750 0.1250
0.8750 0.7500 0.1250
0.3750 0.7500 0.6250
0.2500 0.1250 0.3750
0.8750 0.1250 0.2500
0.3750 0.6250 0.2500
0.6250 0.3750 0.7500
0.1250 0.8750 0.7500
0.7500 0.8750 0.6250
0.6250 0.2500 0.3750
0.1250 0.2500 0.8750
0.2500 0.6250 0.8750
0.7064 0.1216 0.0253
0.3189 0.5253 0.4038
0.9747 0.3784 0.2936
0.5253 0.2064 0.1216
0.5848 0.7064 0.6811
0.9747 0.5962 0.1811
0.3189 0.7936 0.4152
0.0962 0.9152 0.1216
0.5962 0.9747 0.6811
0.7064 0.5848 0.1811
0.7936 0.4747 0.3784
0.8189 0.9038 0.0253
0.1216 0.7064 0.5253
0.3784 0.4038 0.0848
0.0848 0.9038 0.3784
0.4152 0.1216 0.5962
0.0848 0.1811 0.2064
0.4747 0.6811 0.0962
0.8189 0.9152 0.2936
0.1216 0.4152 0.0962
0.3784 0.9747 0.7936
0.5962 0.6216 0.4152
0.9038 0.8189 0.5253
0.7936 0.3189 0.9152
0.4038 0.3784 0.5848
0.0962 0.1811 0.4747
0.2064 0.6811 0.0848
0.1811 0.0848 0.7064
0.6216 0.0253 0.2064
0.8784 0.5848 0.9038
0.5253 0.3189 0.9038
0.5848 0.8784 0.4038
0.9152 0.8189 0.7936
0.9152 0.0962 0.6216
0.8784 0.2936 0.4747
0.1811 0.0962 0.9747
0.6216 0.5962 0.9152
0.4038 0.0253 0.3189
0.2936 0.4152 0.8189
0.2064 0.5253 0.6216
0.9038 0.0848 0.8784
0.6811 0.2064 0.5848
0.4747 0.7936 0.8784
0.0253 0.4038 0.8189
0.4152 0.2936 0.3189
0.0253 0.6216 0.7064
0.6811 0.4747 0.5962
0.2936 0.8784 0.9747
0.1250 0.3750 0.2500
0.0000 0.5000 0.0000
0.0000 0.0000 0.0000
0.3750 0.2500 0.1250
0.5000 0.0000 0.5000
0.5000 0.5000 0.0000
0.1250 0.7500 0.3750
0.7500 0.1250 0.8750
0.7500 0.6250 0.3750
0.3750 0.1250 0.7500
0.6250 0.8750 0.2500
0.5000 0.5000 0.5000
0.5000 0.0000 0.0000
0.0000 0.0000 0.5000
0.2500 0.3750 0.6250
0.2500 0.8750 0.1250
0.0000 0.5000 0.5000
0.8750 0.2500 0.6250
0.6250 0.7500 0.8750
0.8750 0.6250 0.7500
```

Total DFT energy (no corrections) in eV per atom: -6.62
Raw formation energy in eV per atom: -0.70
Calculated volume in Å³/f.u.: 433.3

---

# 11
First-principles (PBE-GGA) data for an optimized crystal structure of Tb3Co5N12, as listed in the Alexandria database.

Structure (POSCAR):
```
Tb3Co5N12
1.0
-5.5976 -4.8075 -7.4379
9.7073 -3.9382 0.1592
-4.5394 -1.5217 9.3191
Tb Co N
12 20 48
direct
0.7500 0.3750 0.1250
0.8750 0.7500 0.1250
0.3750 0.7500 0.6250
0.2500 0.1250 0.3750
0.8750 0.1250 0.2500
0.3750 0.6250 0.2500
0.6250 0.3750 0.7500
0.1250 0.8750 0.7500
0.7500 0.8750 0.6250
0.6250 0.2500 0.3750
0.1250 0.2500 0.8750
0.2500 0.6250 0.8750
0.1250 0.3750 0.2500
0.0000 0.5000 0.0000
0.0000 0.0000 0.0000
0.3750 0.2500 0.1250
0.5000 0.0000 0.5000
0.5000 0.5000 0.0000
0.1250 0.7500 0.3750
0.7500 0.1250 0.8750
0.7500 0.6250 0.3750
0.3750 0.1250 0.7500
0.6250 0.8750 0.2500
0.5000 0.5000 0.5000
0.5000 0.0000 0.0000
0.0000 0.0000 0.5000
0.2500 0.3750 0.6250
0.2500 0.8750 0.1250
0.0000 0.5000 0.5000
0.8750 0.2500 0.6250
0.6250 0.7500 0.8750
0.8750 0.6250 0.7500
0.6992 0.1103 0.0141
0.3150 0.5141 0.4038
0.9859 0.3897 0.3008
0.5141 0.1992 0.1103
0.5888 0.6992 0.6850
0.9859 0.5962 0.1850
0.3150 0.8008 0.4112
0.0962 0.9112 0.1103
0.5962 0.9859 0.6850
0.6992 0.5888 0.1850
0.8008 0.4859 0.3897
0.8150 0.9038 0.0141
0.1103 0.6992 0.5141
0.3897 0.4038 0.0888
0.0888 0.9038 0.3897
0.4112 0.1103 0.5962
0.0888 0.1850 0.1992
0.4859 0.6850 0.0962
0.8150 0.9112 0.3008
0.1103 0.4112 0.0962
0.3897 0.9859 0.8008
0.5962 0.6103 0.4112
0.9038 0.8150 0.5141
0.8008 0.3150 0.9112
0.4038 0.3897 0.5888
0.0962 0.1850 0.4859
0.1992 0.6850 0.0888
0.1850 0.0888 0.6992
0.6103 0.0141 0.1992
0.8897 0.5888 0.9038
0.5141 0.3150 0.9038
0.5888 0.8897 0.4038
0.9112 0.8150 0.8008
0.9112 0.0962 0.6103
0.8897 0.3008 0.4859
0.1850 0.0962 0.9859
0.6103 0.5962 0.9112
0.4038 0.0141 0.3150
0.3008 0.4112 0.8150
0.1992 0.5141 0.6103
0.9038 0.0888 0.8897
0.6850 0.1992 0.5888
0.4859 0.8008 0.8897
0.0141 0.4038 0.8150
0.4112 0.3008 0.3150
0.0141 0.6103 0.6992
0.6850 0.4859 0.5962
0.3008 0.8897 0.9859
```

Total DFT energy (no corrections) in eV per atom: -7.42
Raw formation energy in eV per atom: 0.05
Calculated volume in Å³/f.u.: 221.3

---

# 12
First-principles (PBE-GGA) data for an optimized crystal structure of TbTi2CoN4, as listed in the Alexandria database.

Structure (POSCAR):
```
TbTi2CoN4
1.0
3.0973 0.0000 0.0000
-1.5486 5.2702 0.0000
0.0000 0.0000 10.5293
Tb Ti Co N
2 4 2 8
direct
0.1091 0.2182 0.7500
0.8909 0.7818 0.2500
0.3684 0.7368 0.5482
0.6316 0.2632 0.0482
0.6316 0.2632 0.4518
0.3684 0.7368 0.9518
0.8453 0.6906 0.7500
0.1547 0.3094 0.2500
0.2686 0.5372 0.1116
0.7314 0.4628 0.6116
0.7314 0.4628 0.8884
0.2686 0.5372 0.3884
0.0000 0.0000 0.5000
0.0000 0.0000 0.0000
0.4427 0.8855 0.7500
0.5573 0.1145 0.2500
```

Total DFT energy (no corrections) in eV per atom: -8.80
Raw formation energy in eV per atom: -1.20
Calculated volume in Å³/f.u.: 85.9